[1]
Material: Th3OsSe2
Method: DFT, GGA-PBE
State: relaxed

Summary:
* total magnetization: 0.00 μB per formula unit
* space group: C2/m, No. 12
* calculated volume: 27.33 A^3/atom
* raw formation energy: -1212 meV/atom

Lattice parameters (Å, degrees): 7.295 7.295 7.514 99.36 99.36 119.86
Element x y z (fractional)
Se: 0.333 0.667 0.000
Se: 0.177 0.823 0.500
Se: 0.490 0.510 0.500
Se: 0.833 0.167 0.500
Th: 0.410 0.100 0.226
Th: 0.616 0.949 0.778
Th: 0.257 0.234 0.774
Th: 0.051 0.384 0.222
Th: 0.766 0.743 0.226
Th: 0.900 0.590 0.774
Os: 0.665 0.335 0.000
Os: 0.001 0.999 0.000

[2]
Material: Th4TlOsSe2
Method: DFT, GGA-PBE
State: relaxed

Summary:
* total magnetization: 0.00 μB per formula unit
* space group: P2/m, No. 10
* calculated volume: 28.83 A^3/atom
* raw formation energy: -829 meV/atom

Lattice parameters (Å, degrees): 4.195 7.645 7.577 108.37 90.00 90.00
Element x y z (fractional)
Th: 0.500 0.721 0.755
Th: 0.500 0.279 0.245
Th: 0.000 0.719 0.223
Th: 0.000 0.281 0.777
Se: 0.000 0.500 0.500
Se: 0.500 0.000 0.500
Tl: 0.000 0.000 0.000
Os: 0.500 0.500 0.000

[3]
Material: TiOs3Se
Method: DFT, GGA-PBE
State: relaxed

Summary:
* total magnetization: 0.00 μB per formula unit
* space group: Pm-3m, No. 221
* calculated volume: 18.29 A^3/atom
* raw formation energy: 1452 meV/atom

Lattice parameters (Å, degrees): 4.506 4.506 4.506 90.00 90.00 90.00
Element x y z (fractional)
Ti: 0.500 0.500 0.500
Os: 0.000 0.500 0.000
Os: 0.500 0.000 0.000
Os: 0.000 0.000 0.500
Se: 0.000 0.000 0.000

[4]
Material: Ti3OsSe
Method: DFT, GGA-PBE
State: relaxed

Summary:
* total magnetization: 0.00 μB per formula unit
* space group: Pm-3m, No. 221
* calculated volume: 21.58 A^3/atom
* raw formation energy: 300 meV/atom

Lattice parameters (Å, degrees): 4.761 4.761 4.761 90.00 90.00 90.00
Element x y z (fractional)
Se: 0.500 0.500 0.500
Ti: 0.000 0.500 0.000
Ti: 0.000 0.000 0.500
Ti: 0.500 0.000 0.000
Os: 0.000 0.000 0.000

[5]
Material: TiOsSe2
Method: DFT, GGA-PBE
State: relaxed

Summary:
* total magnetization: 0.00 μB per formula unit
* space group: Fm-3m, No. 225
* calculated volume: 15.79 A^3/atom
* raw formation energy: -3 meV/atom

Lattice parameters (Å, degrees): 4.470 4.470 4.470 60.00 60.00 60.00
Element x y z (fractional)
Se: 0.750 0.750 0.750
Se: 0.250 0.250 0.250
Ti: 0.000 0.000 0.000
Os: 0.500 0.500 0.500

[6]
Material: TiOsSe2
Method: DFT, GGA-PBE
State: relaxed

Summary:
* total magnetization: 0.00 μB per formula unit
* space group: I-42d, No. 122
* calculated volume: 19.21 A^3/atom
* raw formation energy: -51 meV/atom

Lattice parameters (Å, degrees): 4.509 4.509 8.203 74.05 74.05 90.00
Element x y z (fractional)
Se: 0.375 0.364 0.750
Se: 0.875 0.886 0.750
Se: 0.114 0.625 0.250
Se: 0.636 0.125 0.250
Ti: 0.250 0.750 0.500
Ti: 0.500 0.500 0.000
Os: 0.750 0.250 0.500
Os: 0.000 0.000 0.000

[7]
Material: TiOs3Se
Method: DFT, GGA-PBE
State: relaxed

Summary:
* total magnetization: 0.00 μB per formula unit
* space group: Pm-3m, No. 221
* calculated volume: 19.21 A^3/atom
* raw formation energy: 2036 meV/atom

Lattice parameters (Å, degrees): 4.580 4.580 4.580 90.00 90.00 90.00
Element x y z (fractional)
Os: 0.500 0.000 0.000
Os: 0.000 0.500 0.000
Os: 0.000 0.000 0.500
Ti: 0.000 0.000 0.000
Se: 0.500 0.500 0.500

[8]
Material: Ti3OsSe
Method: DFT, GGA-PBE
State: relaxed

Summary:
* total magnetization: 0.00 μB per formula unit
* space group: Pm-3m, No. 221
* calculated volume: 18.72 A^3/atom
* raw formation energy: 417 meV/atom

Lattice parameters (Å, degrees): 4.540 4.540 4.540 90.00 90.00 90.00
Element x y z (fractional)
Ti: 0.000 0.000 0.500
Ti: 0.000 0.500 0.000
Ti: 0.500 0.000 0.000
Se: 0.000 0.000 0.000
Os: 0.500 0.500 0.500